Compound: LiCaI3
Source: the Alexandria database
Functional: GGA-PBE
Structure: relaxed

a = 5.543 Å, b = 5.543 Å, c = 5.543 Å
α = 90.00°, β = 90.00°, γ = 90.00°
Sites, in units of the cell vectors:
Li 0.000 0.000 0.000
I 0.000 0.500 0.000
I 0.500 0.000 0.000
I 0.000 0.000 0.500
Ca 0.500 0.500 0.500

The density of states at the Fermi level comes out at 0.000 states/eV/f.u. The calculation puts the total energy at -2.737 eV/atom. The volume comes out at 170.33 Å³/cell.